i | This record from Alexandria describes a relaxed Bi2Pt2Se crystal. The functional is PBE.

Structure (CIF):
```
data_Bi2Pt2Se
_cell_length_a 3.906
_cell_length_b 3.906
_cell_length_c 15.664
_cell_angle_alpha 90.00
_cell_angle_beta 90.00
_cell_angle_gamma 90.00
_space_group_name_H-M_alt 'I 4/m m m'
_space_group_IT_number 139
_space_group_name_Hall '-I 4 2'
loop_
_atom_site_label
_atom_site_fract_x
_atom_site_fract_y
_atom_site_fract_z
_atom_site_occupancy
Bi1 0.000 0.000 0.118 1
Pt1 0.000 0.500 0.250 1
Se1 0.000 0.000 0.500 1
```

Properties
Total magnetic moment = 0.00 μB per cell


ii | This record from Alexandria describes a relaxed Bi2Pt2Se crystal. The functional is PBE.

Structure (CIF):
```
data_Bi2Pt2Se
_cell_length_a 7.517
_cell_length_b 7.517
_cell_length_c 3.961
_cell_angle_alpha 90.00
_cell_angle_beta 90.00
_cell_angle_gamma 90.00
_space_group_name_H-M_alt 'P 4/m b m'
_space_group_IT_number 127
_space_group_name_Hall '-P 4 2ab'
loop_
_atom_site_label
_atom_site_fract_x
_atom_site_fract_y
_atom_site_fract_z
_atom_site_occupancy
Bi1 0.162 0.338 0.000 1
Pt1 0.135 0.635 0.500 1
Se1 0.000 0.000 0.500 1
```

Properties
Total magnetic moment = 0.00 μB per cell


Question: which arrangement is favored energetically? Ranking from most to least stable: i, ii.